Here is a relaxed structure of Rb3Ac2PaO6 from Alexandria. Energies are from PBE.

crystal system	monoclinic
uncorrected formation energy	-240.1	kJ per mole of atoms
M_tot	1.384	Bohr magnetons per cell

Unit cell a=6.6760 b=6.6760 c=7.2818 alpha=98.27 beta=98.27 gamma=120.21
Closest atoms and distances in Å follow each position.
Atoms (fractional coordinates):
Rb1 0.1583 0.8417 0.5000  4 O 3.15-3.17
Rb2 0.8417 0.1583 0.5000  4 O 3.15-3.17
Rb3 0.5000 0.5000 0.5000  6 O 3.23-3.38
Ac1 0.3331 0.6669 0.0000  6 O 2.57-2.60
Ac2 0.6669 0.3331 0.0000  6 O 2.57-2.60
Pa1 0.0000 0.0000 0.0000  6 O 2.25-2.27
O1 0.9504 0.6537 0.8467  1 Pa 2.25
O2 0.7519 0.7519 0.1574  1 Pa 2.27
O3 0.0496 0.3463 0.1533  1 Pa 2.25
O4 0.6537 0.9504 0.8467  1 Pa 2.25
O5 0.2481 0.2481 0.8426  1 Pa 2.27
O6 0.3463 0.0496 0.1533  1 Pa 2.25